Entry from the Alexandria database: a relaxed structure of Zr8C6N (PBE).

Space group: P-3, No. 147
Formation energy (no corrections) in eV per atom: -0.37

a b c (Å): 8.713 8.713 3.425
angles (deg): 90.00 90.00 120.00
Positions (direct):
Zr (0.030, 0.350, 0.242)
Zr (0.320, 0.970, 0.242)
Zr (0.333, 0.667, 0.749)
Zr (0.350, 0.320, 0.758)
Zr (0.650, 0.680, 0.242)
Zr (0.667, 0.333, 0.251)
Zr (0.680, 0.030, 0.758)
Zr (0.970, 0.650, 0.758)
C (0.138, 0.662, 0.256)
C (0.338, 0.476, 0.256)
C (0.476, 0.138, 0.744)
C (0.524, 0.862, 0.256)
C (0.662, 0.524, 0.744)
C (0.862, 0.338, 0.744)
N (0.000, 0.000, 0.000)